i.
! CrAgMo2 (meta-GGA SCAN, single point on PBEsol structure); values from VASP
&SYSTEM
  ibrav = 0, nat = 4, ntyp = 3
/
ATOMIC_SPECIES
Cr 52.00 Cr.upf
Ag 107.87 Ag.upf
Mo 95.94 Mo.upf
CELL_PARAMETERS angstrom
1.3815 0.7976 8.9589
-1.3815 0.7976 8.9589
0.0000 -1.5952 8.9589
ATOMIC_POSITIONS angstrom
Cr 0.0000 0.0000 0.0000
Ag 0.0000 0.0000 13.4383
Mo 0.0000 0.0000 6.9558
Mo 0.0000 0.0000 19.9208
! * space-group type: R-3m
! * total magnetic moment: 0.00 μB per formula unit



ii.
! CrAgMo2 (meta-GGA SCAN, single point on PBEsol structure); values from VASP
&SYSTEM
  ibrav = 0, nat = 4, ntyp = 3
/
ATOMIC_SPECIES
Cr 52.00 Cr.upf
Ag 107.87 Ag.upf
Mo 95.94 Mo.upf
CELL_PARAMETERS angstrom
2.5513 0.0000 0.0000
0.0000 4.1810 0.0000
0.0000 0.0000 5.5174
ATOMIC_POSITIONS angstrom
Cr 0.0000 0.0000 0.0000
Ag 1.2756 2.0905 4.1289
Mo 0.0000 0.0000 2.6907
Mo 1.2756 2.0905 1.2937
! * space-group type: Pmm2
! * total magnetic moment: 0.00 μB per formula unit



iii.
! CrAgMo2 (meta-GGA SCAN, single point on PBEsol structure); values from VASP
&SYSTEM
  ibrav = 0, nat = 4, ntyp = 3
/
ATOMIC_SPECIES
Cr 52.00 Cr.upf
Ag 107.87 Ag.upf
Mo 95.94 Mo.upf
CELL_PARAMETERS angstrom
1.5493 -2.1504 0.0000
1.5493 2.1504 0.0000
0.0000 0.0000 8.8123
ATOMIC_POSITIONS angstrom
Cr 0.0000 0.0000 0.0000
Ag 1.5493 0.0000 2.2246
Mo 0.0000 0.0000 4.6181
Mo 1.5493 0.0000 6.8373
! * space-group type: Cmm2
! * total magnetic moment: 0.00 μB per formula unit



The structure with the most favorable energy is iii; the runner-up is 186 meV per atom above it.



i.
! CrAgPt2 (meta-GGA SCAN, single point on PBEsol structure); values from VASP
&SYSTEM
  ibrav = 0, nat = 4, ntyp = 3
/
ATOMIC_SPECIES
Cr 52.00 Cr.upf
Ag 107.87 Ag.upf
Pt 195.08 Pt.upf
CELL_PARAMETERS angstrom
4.7448 0.0000 0.0000
0.0000 2.8086 0.0000
-1.6518 0.0000 4.5172
ATOMIC_POSITIONS angstrom
Cr 0.0000 0.0000 0.0000
Ag -0.8259 1.4043 2.2586
Pt 1.5465 0.0000 2.2586
Pt 2.3724 1.4043 0.0000
! * space-group type: P2/m
! * total magnetic moment: 4.17 μB per formula unit



ii.
! CrAgPt2 (meta-GGA SCAN, single point on PBEsol structure); values from VASP
&SYSTEM
  ibrav = 0, nat = 4, ntyp = 3
/
ATOMIC_SPECIES
Cr 52.00 Cr.upf
Ag 107.87 Ag.upf
Pt 195.08 Pt.upf
CELL_PARAMETERS angstrom
2.7166 0.0000 0.0000
0.0000 2.7166 0.0000
0.0000 0.0000 7.7662
ATOMIC_POSITIONS angstrom
Cr 0.0000 0.0000 0.0000
Ag 0.0000 0.0000 3.8831
Pt 1.3583 1.3583 1.7265
Pt 1.3583 1.3583 6.0397
! * space-group type: P4/mmm
! * total magnetic moment: 2.64 μB per formula unit



The structure with the most favorable energy is ii; the runner-up is 155 meV per atom above it.



i.
! CrRe2Ag (meta-GGA SCAN, single point on PBEsol structure); values from VASP
&SYSTEM
  ibrav = 0, nat = 4, ntyp = 3
/
ATOMIC_SPECIES
Cr 52.00 Cr.upf
Re 186.21 Re.upf
Ag 107.87 Ag.upf
CELL_PARAMETERS angstrom
0.0000 3.0784 3.0784
3.0784 0.0000 3.0784
3.0784 3.0784 0.0000
ATOMIC_POSITIONS angstrom
Cr 0.0000 0.0000 0.0000
Re 3.0784 3.0784 3.0784
Re 4.6177 4.6177 4.6177
Ag 1.5392 1.5392 1.5392
! * space-group type: F-43m
! * total magnetic moment: 2.73 μB per formula unit



ii.
! CrRe2Ag (meta-GGA SCAN, single point on PBEsol structure); values from VASP
&SYSTEM
  ibrav = 0, nat = 4, ntyp = 3
/
ATOMIC_SPECIES
Cr 52.00 Cr.upf
Re 186.21 Re.upf
Ag 107.87 Ag.upf
CELL_PARAMETERS angstrom
-1.4341 2.2138 4.5545
1.4341 -2.2138 4.5545
1.4341 2.2138 -4.5545
ATOMIC_POSITIONS angstrom
Cr 0.0000 0.0000 0.0000
Re 1.4341 0.0000 1.9901
Re 0.0000 2.2138 2.5644
Ag 0.0000 0.0000 4.5545
! * space-group type: Immm
! * total magnetic moment: 0.05 μB per formula unit



The structure with the most favorable energy is i; the runner-up is 37 meV per atom above it.